An optimized crystal structure of Ta2ReOs, computed with GGA-PBE.

Cell lengths 3.192, 4.627, 4.410 Å; angles 90.00, 90.00, 90.00 degrees
Atoms (fractional coordinates):
Re  0.000  0.500  0.500
Os  0.500  0.000  0.500
Ta  0.500  0.500  0.000
Ta  0.000  0.000  0.000

Energy relative to the elements ... -0.4 eV/f.u.
Total moment ... 0.00 μB per formula unit
Calculated total energy ... -11.95 eV/atom
Space-group type ... No. 47

An optimized crystal structure of TaRe2Os, computed with GGA-PBE.

Cell lengths 9.414, 9.414, 9.414 Å; angles 17.05, 17.05, 17.05 degrees
Atoms (fractional coordinates):
Re  0.254  0.254  0.254
Ta  0.499  0.499  0.499
Os  0.746  0.746  0.746
Re  0.000  0.000  0.000

Energy relative to the elements ... 0.6 eV/f.u.
Total moment ... 0.00 μB per formula unit
Calculated total energy ... -11.86 eV/atom
Space-group type ... No. 160